(1)
A plane-wave DFT calculation with PBE was carried out for a geometry-optimized Ce2ThIr9 structure.

Results
**SG**: No. 166
**Energy of formation from the pure elements**: -0.639 eV/atom

Cell lengths 5.341, 5.341, 9.383 Å; angles 73.47, 73.47, 60.00 degrees
Atoms (fractional coordinates):
Ce: 0.860 0.860 0.419
Ce: 0.140 0.140 0.581
Th: 0.000 0.000 0.000
Ir: 0.667 0.667 0.000
Ir: 0.333 0.333 0.000
Ir: 0.500 0.500 0.500
Ir: 0.417 0.417 0.248
Ir: 0.918 0.417 0.248
Ir: 0.417 0.918 0.248
Ir: 0.583 0.583 0.752
Ir: 0.583 0.082 0.752
Ir: 0.082 0.583 0.752

=====

(2)
A plane-wave DFT calculation with PBE was carried out for a geometry-optimized La3Pr3Sm8 structure.

Results
**SG**: No. 71
**Energy of formation from the pure elements**: 0.093 eV/atom

Cell lengths 5.827, 9.972, 9.972 Å; angles 102.75, 73.01, 73.01 degrees
Atoms (fractional coordinates):
La: 0.500 0.000 0.000
La: 0.000 0.815 0.185
La: 0.000 0.185 0.815
Pr: 0.500 0.500 0.500
Pr: 0.803 0.197 0.197
Pr: 0.197 0.803 0.803
Sm: 0.662 0.119 0.558
Sm: 0.338 0.881 0.442
Sm: 0.662 0.558 0.119
Sm: 0.338 0.442 0.881
Sm: 0.838 0.764 0.559
Sm: 0.162 0.236 0.441
Sm: 0.838 0.559 0.764
Sm: 0.162 0.441 0.236